HgBi5 | PBE-GGA | optimized geometry

a b c (Å): 4.2378 5.1991 8.9389
angles (deg): 106.91 90.00 90.00
With the nearest neighbours (Å) after each atom.
Fractional coordinates of all 6 atoms:
1 Bi 0.5000 0.1845 0.3690  8 Bi 3.40-3.52, 2 Hg 3.80
2 Bi 0.5000 0.8155 0.6310  8 Bi 3.40-3.52, 2 Hg 3.80
3 Bi 0.0000 0.3491 0.6981  8 Bi 3.34-3.52, 2 Hg 3.66
4 Bi 0.0000 0.6509 0.3019  8 Bi 3.34-3.52, 2 Hg 3.66
5 Bi 0.5000 0.5000 0.0000  4 Bi 3.34, 4 Hg 3.35
6 Hg 0.0000 0.0000 0.0000  8 Bi 3.35-3.66

energy relative to the elements = 0.131 eV/atom
space group = Cmmm
distance to the lowest polymorph of the same formula = 43 kJ/mol of formula units


HgBi | PBE-GGA | optimized geometry

a b c (Å): 10.9464 10.9464 10.9464
angles (deg): 90.00 90.00 90.00
With the nearest neighbours (Å) after each atom.
Fractional coordinates of all 16 atoms:
1 Bi 0.9019 0.9019 0.9019  3 Bi 3.04
2 Bi 0.0981 0.0981 0.9019  3 Bi 3.04
3 Bi 0.5981 0.5981 0.4019  3 Bi 3.04
4 Bi 0.4019 0.5981 0.5981  3 Bi 3.04
5 Bi 0.9019 0.0981 0.0981  3 Bi 3.04
6 Bi 0.4019 0.4019 0.4019  3 Bi 3.04
7 Bi 0.5981 0.4019 0.5981  3 Bi 3.04
8 Bi 0.0981 0.9019 0.0981  3 Bi 3.04
9 Hg 0.7849 0.2151 0.7849  4 Bi 3.54-3.88
10 Hg 0.2849 0.2849 0.7151  4 Bi 3.54-3.88
11 Hg 0.2151 0.2151 0.2151  4 Bi 3.54-3.88
12 Hg 0.7151 0.2849 0.2849  4 Bi 3.54-3.88
13 Hg 0.2849 0.7151 0.2849  4 Bi 3.54-3.88
14 Hg 0.7151 0.7151 0.7151  4 Bi 3.54-3.88
15 Hg 0.2151 0.7849 0.7849  4 Bi 3.54-3.88
16 Hg 0.7849 0.7849 0.2151  4 Bi 3.54-3.88

energy relative to the elements = 0.190 eV/atom
space group = I-43m


HgBi2 | PBE-GGA | optimized geometry

a b c (Å): 4.2929 4.2929 5.8732
angles (deg): 111.44 111.44 90.00
With the nearest neighbours (Å) after each atom.
Fractional coordinates of all 3 atoms:
1 Bi 0.6827 0.6827 0.3655  5 Hg 3.19-3.55, 4 Bi 3.32
2 Bi 0.3173 0.3173 0.6345  5 Hg 3.19-3.55, 4 Bi 3.32
3 Hg 0.0000 0.0000 0.0000  10 Bi 3.19-3.55

energy relative to the elements = 0.099 eV/atom
space group = I4/mmm
distance to the lowest polymorph of the same formula = 18 kJ/mol of formula units


HgBi5 | PBE-GGA | optimized geometry

a b c (Å): 4.6904 6.5878 7.1583
angles (deg): 96.54 109.07 90.04
With the nearest neighbours (Å) after each atom.
Fractional coordinates of all 6 atoms:
1 Bi 0.9702 0.2851 0.9458  5 Bi 3.10-3.27
2 Bi 0.9646 0.8131 0.9321  3 Bi 3.10-3.15, 2 Hg 3.33-3.35
3 Bi 0.3075 0.2708 0.6100  5 Bi 3.10-3.27
4 Bi 0.6380 0.2774 0.2775  4 Bi 3.24-3.27, 2 Hg 3.29
5 Bi 0.3129 0.7425 0.6231  3 Bi 3.10-3.15, 2 Hg 3.33-3.34
6 Hg 0.6400 0.7776 0.2781  6 Bi 3.29-3.35

energy relative to the elements = 0.056 eV/atom
space group = P1
distance to the lowest polymorph of the same formula = 0 kJ/mol of formula units


Hg2Bi | PBE-GGA | optimized geometry

a b c (Å): 5.4953 5.5226 7.0047
angles (deg): 75.79 75.77 68.57
With the nearest neighbours (Å) after each atom.
Fractional coordinates of all 6 atoms:
1 Hg 0.5000 0.5000 0.0000  2 Bi 2.96, 4 Hg 3.10-3.23
2 Hg 0.0000 0.0000 0.0000  4 Hg 3.10-3.13, 2 Bi 3.31
3 Hg 0.8301 0.8360 0.6678  3 Bi 3.11-3.33, 3 Hg 3.13-3.24
4 Hg 0.1699 0.1640 0.3322  3 Bi 3.11-3.33, 3 Hg 3.13-3.24
5 Bi 0.3474 0.3522 0.6791  4 Hg 2.96-3.31, 1 Bi 3.11
6 Bi 0.6526 0.6478 0.3209  4 Hg 2.96-3.31, 1 Bi 3.11

energy relative to the elements = 0.034 eV/atom
space group = P-1
distance to the lowest polymorph of the same formula = 2 kJ/mol of formula units


HgBi | PBE-GGA | optimized geometry

a b c (Å): 8.3206 8.3206 8.3206
angles (deg): 90.00 90.00 90.00
With the nearest neighbours (Å) after each atom.
Fractional coordinates of all 12 atoms:
1 Hg 0.0000 0.5000 0.2500  4 Bi 2.94
2 Hg 0.5000 0.7500 0.0000  4 Bi 2.94
3 Hg 0.0000 0.5000 0.7500  4 Bi 2.94
4 Hg 0.5000 0.2500 0.0000  4 Bi 2.94
5 Hg 0.2500 0.0000 0.5000  4 Bi 2.94
6 Hg 0.7500 0.0000 0.5000  4 Bi 2.94
7 Bi 0.7500 0.5000 0.0000  4 Hg 2.94
8 Bi 0.0000 0.2500 0.5000  4 Hg 2.94
9 Bi 0.0000 0.7500 0.5000  4 Hg 2.94
10 Bi 0.5000 0.0000 0.7500  4 Hg 2.94
11 Bi 0.5000 0.0000 0.2500  4 Hg 2.94
12 Bi 0.2500 0.5000 0.0000  4 Hg 2.94

energy relative to the elements = 0.331 eV/atom
space group = Pm-3n


Hg2Bi | PBE-GGA | optimized geometry

a b c (Å): 3.3952 4.8082 12.1413
angles (deg): 105.09 90.00 110.67
With the nearest neighbours (Å) after each atom.
Fractional coordinates of all 6 atoms:
1 Hg 0.9937 0.9875 0.7332  3 Hg 3.02-3.21, 1 Bi 3.21
2 Hg 0.3349 0.6697 0.4200  6 Hg 3.02-3.26
3 Hg 0.0063 0.0125 0.2668  3 Hg 3.02-3.21, 1 Bi 3.21
4 Hg 0.6651 0.3303 0.5800  6 Hg 3.02-3.26
5 Bi 0.3307 0.6614 0.9133  5 Bi 3.18-3.40, 3 Hg 3.21-3.41
6 Bi 0.6693 0.3386 0.0867  5 Bi 3.18-3.40, 3 Hg 3.21-3.41

energy relative to the elements = 0.051 eV/atom
space group = C2/m
distance to the lowest polymorph of the same formula = 8 kJ/mol of formula units


HgBi | PBE-GGA | optimized geometry

a b c (Å): 6.2931 6.2931 6.0879
angles (deg): 90.00 90.00 90.00
With the nearest neighbours (Å) after each atom.
Fractional coordinates of all 8 atoms:
1 Hg 0.8119 0.1881 0.0000  6 Bi 3.04-3.28, 1 Hg 3.35
2 Hg 0.3119 0.3119 0.5000  6 Bi 3.04-3.28, 1 Hg 3.35
3 Hg 0.6881 0.6881 0.5000  6 Bi 3.04-3.28, 1 Hg 3.35
4 Hg 0.1881 0.8119 0.0000  6 Bi 3.04-3.28, 1 Hg 3.35
5 Bi 0.8168 0.1832 0.5000  6 Hg 3.04-3.28, 1 Bi 3.26
6 Bi 0.1832 0.8168 0.5000  6 Hg 3.04-3.28, 1 Bi 3.26
7 Bi 0.3168 0.3168 0.0000  6 Hg 3.04-3.28, 1 Bi 3.26
8 Bi 0.6832 0.6832 0.0000  6 Hg 3.04-3.28, 1 Bi 3.26

energy relative to the elements = 0.156 eV/atom
space group = P4_2/mnm


HgBi2 | PBE-GGA | optimized geometry

a b c (Å): 3.2912 6.5257 9.2782
angles (deg): 93.62 101.04 90.07
With the nearest neighbours (Å) after each atom.
Fractional coordinates of all 6 atoms:
1 Bi 0.5252 0.5456 0.9607  5 Bi 3.11-3.33, 1 Hg 3.33
2 Bi 0.5234 0.0216 0.6170  5 Bi 3.11-3.33, 1 Hg 3.33
3 Bi 0.7183 0.0442 0.9589  5 Bi 3.11-3.33, 1 Hg 3.32
4 Bi 0.3302 0.5230 0.6187  5 Bi 3.11-3.33, 1 Hg 3.32
5 Hg 0.0263 0.2823 0.2890  6 Hg 3.29-3.66, 3 Bi 3.32-3.69
6 Hg 0.5263 0.7818 0.2894  6 Hg 3.29-3.66, 2 Bi 3.33

energy relative to the elements = 0.038 eV/atom
space group = P1
distance to the lowest polymorph of the same formula = 0 kJ/mol of formula units


HgBi | PBE-GGA | optimized geometry

a b c (Å): 9.7384 11.5161 9.9408
angles (deg): 90.00 90.00 90.00
With the nearest neighbours (Å) after each atom.
Fractional coordinates of all 32 atoms:
1 Hg 0.1010 0.7500 0.2500  1 Hg 2.90, 2 Bi 3.00
2 Hg 0.3510 0.0000 0.5000  1 Hg 2.90, 2 Bi 3.00
3 Hg 0.3990 0.2500 0.7500  1 Hg 2.90, 2 Bi 3.00
4 Hg 0.1490 0.5000 0.5000  1 Hg 2.90, 2 Bi 3.00
5 Hg 0.1490 0.0000 0.0000  1 Hg 2.90, 2 Bi 3.00
6 Hg 0.8510 0.5000 0.5000  1 Hg 2.90, 2 Bi 3.00
7 Hg 0.3510 0.5000 0.0000  1 Hg 2.90, 2 Bi 3.00
8 Hg 0.3990 0.7500 0.2500  1 Hg 2.90, 2 Bi 3.00
9 Hg 0.6010 0.7500 0.7500  1 Hg 2.90, 2 Bi 3.00
10 Hg 0.6490 0.5000 0.0000  1 Hg 2.90, 2 Bi 3.00
11 Hg 0.8990 0.2500 0.2500  1 Hg 2.90, 2 Bi 3.00
12 Hg 0.8990 0.7500 0.7500  1 Hg 2.90, 2 Bi 3.00
13 Hg 0.6010 0.2500 0.2500  1 Hg 2.90, 2 Bi 3.00
14 Hg 0.6490 0.0000 0.5000  1 Hg 2.90, 2 Bi 3.00
15 Hg 0.8510 0.0000 0.0000  1 Hg 2.90, 2 Bi 3.00
16 Hg 0.1010 0.2500 0.7500  1 Hg 2.90, 2 Bi 3.00
17 Bi 0.5000 0.8674 0.0000  2 Hg 3.00, 1 Bi 3.05
18 Bi 0.2500 0.3826 0.2500  2 Hg 3.00, 1 Bi 3.05
19 Bi 0.5000 0.3674 0.5000  2 Hg 3.00, 1 Bi 3.05
20 Bi 0.7500 0.3826 0.7500  2 Hg 3.00, 1 Bi 3.05
21 Bi 0.0000 0.3674 0.0000  2 Hg 3.00, 1 Bi 3.05
22 Bi 0.0000 0.6326 0.0000  2 Hg 3.00, 1 Bi 3.05
23 Bi 0.7500 0.8826 0.2500  2 Hg 3.00, 1 Bi 3.05
24 Bi 0.0000 0.1326 0.5000  2 Hg 3.00, 1 Bi 3.05
25 Bi 0.2500 0.1174 0.2500  2 Hg 3.00, 1 Bi 3.05
26 Bi 0.7500 0.1174 0.7500  2 Hg 3.00, 1 Bi 3.05
27 Bi 0.2500 0.6174 0.7500  2 Hg 3.00, 1 Bi 3.05
28 Bi 0.5000 0.1326 0.0000  2 Hg 3.00, 1 Bi 3.05
29 Bi 0.7500 0.6174 0.2500  2 Hg 3.00, 1 Bi 3.05
30 Bi 0.0000 0.8674 0.5000  2 Hg 3.00, 1 Bi 3.05
31 Bi 0.2500 0.8826 0.7500  2 Hg 3.00, 1 Bi 3.05
32 Bi 0.5000 0.6326 0.5000  2 Hg 3.00, 1 Bi 3.05

energy relative to the elements = 0.134 eV/atom
space group = Fddd